DFT (GGA-PBE) results for a relaxed structure of CsPOsCl2.

a = 5.2794 Å, b = 5.2794 Å, c = 4.4907 Å
α = 90.00°, β = 90.00°, γ = 90.00°
With the nearest neighbours (Å) after each atom.
Atoms (fractional coordinates):
1 Cs 0.5000 0.5000 0.5000  8 Cl 3.47, 4 P 3.73
2 P 0.0000 0.0000 0.5000  2 Os 2.25
3 Os 0.0000 0.0000 0.0000  2 P 2.25
4 Cl 0.0000 0.5000 0.0000  2 Os 2.64
5 Cl 0.5000 0.0000 0.0000  2 Os 2.64

DFT total energy: -4.568 eV/atom
Energy above the lowest structure with this stoichiometry: 0 meV/atom
Symmetry: No. 123
E_form (uncorrected): -0.331 eV per atom
Volume: 25.0 A^3/atom
M_tot: 0.00 μB per atom


DFT (GGA-PBE) results for a relaxed structure of CsPOsCl2.

a = 5.7439 Å, b = 5.7439 Å, c = 5.8916 Å
α = 90.00°, β = 90.00°, γ = 90.00°
With the nearest neighbours (Å) after each atom.
Atoms (fractional coordinates):
1 Cs 0.0000 0.0000 0.0000  4 Cl 2.87, 2 P 2.95
2 P 0.0000 0.0000 0.5000  2 Cs 2.95
3 Os 0.5000 0.5000 0.5000  4 P 4.06, 8 Cl 4.11
4 Cl 0.0000 0.5000 0.0000  2 Cs 2.87
5 Cl 0.5000 0.0000 0.0000  2 Cs 2.87

DFT total energy: -2.411 eV/atom
Energy above the lowest structure with this stoichiometry: 2157 meV/atom
Symmetry: No. 123
E_form (uncorrected): 1.826 eV per atom
Volume: 38.9 A^3/atom
M_tot: 1.38 μB per atom


DFT (GGA-PBE) results for a relaxed structure of CsP2OsCl.

a = 4.5647 Å, b = 4.5647 Å, c = 6.1711 Å
α = 90.00°, β = 90.00°, γ = 90.00°
With the nearest neighbours (Å) after each atom.
Atoms (fractional coordinates):
1 Cs 0.5000 0.5000 0.5000  4 Cl 3.23
2 P 0.0000 0.5000 0.0000  2 Os 2.28
3 P 0.5000 0.0000 0.0000  2 Os 2.28
4 Os 0.0000 0.0000 0.0000  4 P 2.28
5 Cl 0.0000 0.0000 0.5000  2 Os 3.09, 4 Cs 3.23

DFT total energy: -5.068 eV/atom
Energy above the lowest structure with this stoichiometry: 0 meV/atom
Symmetry: No. 123
E_form (uncorrected): -0.118 eV per atom
Volume: 25.7 A^3/atom
M_tot: 0.00 μB per atom


DFT (GGA-PBE) results for a relaxed structure of CsP2OsCl.

a = 5.6724 Å, b = 5.6724 Å, c = 5.8218 Å
α = 90.00°, β = 90.00°, γ = 90.00°
With the nearest neighbours (Å) after each atom.
Atoms (fractional coordinates):
1 Cs 0.0000 0.0000 0.0000  4 P 2.84, 2 Cl 2.91
2 P 0.0000 0.5000 0.0000  2 Cs 2.84
3 P 0.5000 0.0000 0.0000  2 Cs 2.84
4 Os 0.5000 0.5000 0.5000  4 Cl 4.01, 8 P 4.06
5 Cl 0.0000 0.0000 0.5000  2 Cs 2.91

DFT total energy: -2.180 eV/atom
Energy above the lowest structure with this stoichiometry: 2888 meV/atom
Symmetry: No. 123
E_form (uncorrected): 2.770 eV per atom
Volume: 37.5 A^3/atom
M_tot: 0.42 μB per atom